Record 1
Sm2FeCo: relaxed, GGA-PBE.

Summary:
Space-group type   Cm, No. 8
Relative energy among the computed polymorphs   0.000 eV per atom
Formation energy from the elements   -71 meV/atom
V   23.676 A^3/atom
DFT total energy   -6.323 eV per atom

Cell: 3.915 3.915 7.486 Å, 74.78 74.84 60.01°
Last column: magnetic moment on the atom in μB.
Element x y z (fractional)
Co1 0.133 0.896 0.838  0.68
Fe1 0.472 0.235 0.821  1.55
Sm1 0.893 0.656 0.559  -0.10
Sm2 0.713 0.475 0.100  -0.07


Record 2
MnH2Pd6: relaxed, GGA-PBE.

Summary:
Space-group type   C2/m, No. 12
V   13.423 A^3/atom
DFT total energy   -5.175 eV per atom

Cell: 4.024 5.362 6.366 Å, 83.15 71.57 67.96°
Last column: magnetic moment on the atom in μB.
Element x y z (fractional)
Pd1 0.032 0.784 0.152  0.07
Pd2 0.968 0.216 0.848  0.07
Pd3 0.344 0.809 0.503  0.10
Mn1 0.000 0.500 0.500  3.63
H1 0.815 0.186 0.184  0.00
Pd4 0.316 0.211 0.157  0.07
Pd5 0.656 0.191 0.497  0.10
H2 0.185 0.814 0.816  0.00
Pd6 0.684 0.789 0.843  0.07


Record 3
Na4PtPb: relaxed, GGA-PBE.

Summary:
Space-group type   C2/m, No. 12
Formation energy from the elements   -186 meV/atom
V   25.927 A^3/atom
DFT total energy   -2.690 eV per atom

Cell: 5.378 5.636 11.974 Å, 83.95 77.25 61.50°
Element x y z (fractional)
Pb1 0.933 0.000 0.133
Na1 0.189 0.335 0.284
Pt1 0.251 0.499 0.500
Na2 0.524 0.665 0.284
Pt2 0.749 0.501 0.500
Na3 0.789 0.000 0.422
Pb2 0.067 0.000 0.867
Na4 0.337 0.326 0.000
Na5 0.811 0.665 0.716
Na6 0.476 0.335 0.716
Na7 0.663 0.674 0.000
Na8 0.211 0.000 0.578


Record 4
CaPm2Ga3Pd4: relaxed, GGA-PBE.

Summary:
Space-group type   P-4m2, No. 115
Formation energy from the elements   -734 meV/atom
V   20.710 A^3/atom
DFT total energy   -4.870 eV per atom

Cell: 4.211 4.211 11.681 Å, 90.00 90.00 90.00°
Element x y z (fractional)
Ga1 0.000 0.500 0.123
Pm1 0.500 0.000 0.225
Pd1 0.000 0.000 0.000
Pd2 0.500 0.000 0.661
Ga2 0.500 0.000 0.877
Ca1 0.500 0.500 0.500
Pm2 0.000 0.500 0.775
Pd3 0.000 0.500 0.339
Pd4 0.500 0.500 0.000
Ga3 0.000 0.000 0.500


Record 5
BeCdSi2: relaxed, GGA-PBE.

Summary:
Space-group type   Imm2, No. 44
Relative energy among the computed polymorphs   0.202 eV per atom
ΔE_f (raw)   0.57 eV per atom
V   16.199 A^3/atom
DFT total energy   -3.297 eV per atom

Cell: 5.661 5.661 5.661 Å, 153.07 127.43 60.04°
Element x y z (fractional)
Si1 0.726 0.226 0.500
Cd1 0.281 0.781 0.500
Be1 0.525 0.525 0.000
Si2 0.967 0.967 0.000


Record 6
CaZnCu2Si: relaxed, GGA-PBE.

Summary:
Space-group type   Cm, No. 8
ΔE_f (raw)   -0.25 eV per atom
V   17.236 A^3/atom
DFT total energy   -3.628 eV per atom

Cell: 4.142 4.124 5.826 Å, 110.60 110.82 90.00°
Element x y z (fractional)
Ca1 0.443 0.443 0.886
Cu1 0.052 0.052 0.104
Cu2 0.703 0.205 0.407
Zn1 0.191 0.689 0.381
Si1 0.823 0.823 0.646


Record 7
VBi2PtPb: relaxed, GGA-PBE.

Summary:
Space-group type   P4/mmm, No. 123
Formation energy from the elements   1535 meV/atom
V   34.475 A^3/atom
DFT total energy   -3.791 eV per atom

Cell: 5.863 5.863 5.014 Å, 90.00 90.00 90.00°
Element x y z (fractional)
Pt1 0.000 0.000 0.500
Bi1 0.000 0.500 0.000
Bi2 0.500 0.000 0.000
Pb1 0.000 0.000 0.000
V1 0.500 0.500 0.500


Record 8
CeDyTh2Sb4: relaxed, GGA-PBE.

Summary:
Space-group type   P2/m, No. 10
ΔE_f (raw)   -1.01 eV per atom
V   31.697 A^3/atom
DFT total energy   -6.239 eV per atom

Cell: 4.480 7.762 7.738 Å, 109.53 90.00 90.00°
Last column: magnetic moment on the atom in μB.
Element x y z (fractional)
Th1 0.000 0.500 0.500  0.02
Dy1 0.500 0.500 0.000  0.00
Sb1 0.000 0.745 0.244  0.00
Ce1 0.000 0.000 0.000  0.78
Sb2 0.500 0.252 0.246  -0.01
Th2 0.500 0.000 0.500  0.02
Sb3 0.500 0.748 0.754  -0.01
Sb4 0.000 0.255 0.756  0.00